1.
Sb3Au: optimized geometry, PBE.

The structure belongs to space group Pmmn (No. 59, origin choice 2); the cell edges are 8.419, 17.958 and 4.220 Å and the angles 90.00°, 90.00° and 90.00°. The asymmetric unit holds Sb at (0.020, 0.084, 0.003), Sb at (0.030, 0.750, 0.997), Sb at (0.250, 0.250, 0.503), Sb at (0.250, 0.571, 0.498), Au at (0.250, 0.087, 0.503) and Au at (0.250, 0.750, 0.497).

Its uncorrected formation energy is 2 meV/atom. The calculation puts the calculated total energy at -93.83 eV/cell. The volume comes out at 26.585 Å³ per atom. The calculation puts the offset from the most stable computed form at 16 meV/atom.

***

2.
Sb5Au3: optimized geometry, PBE.

The structure belongs to space group P6_3/mcm (No. 193); the cell edges are 8.4746, 8.4746 and 6.2522 Å and the angles 90.00°, 90.00° and 120.00°. The asymmetric unit holds Sb at (0.0000, 0.2104, 0.2500), Sb at (0.3333, 0.6667, 0.0000) and Au at (0.0000, 0.4188, 0.7500).

Its uncorrected formation energy is 151 meV/atom. The calculation puts the calculated total energy at -58.48 eV/cell. The volume comes out at 24.304 Å³ per atom. The calculation puts the offset from the most stable computed form at 75 meV/atom.

***

3.
Sb3Au: optimized geometry, PBE.

The structure belongs to space group Cmcm (No. 63); the cell edges are 8.849, 11.616 and 4.388 Å and the angles 90.00°, 90.00° and 90.00°. The asymmetric unit holds Sb at (0.000, 0.211, 0.250), Sb at (0.177, 0.413, 0.750) and Au at (0.000, 0.073, 0.750).

Its uncorrected formation energy is 100 meV/atom. The calculation puts the calculated total energy at -60.98 eV/cell. The volume comes out at 28.190 Å³ per atom. The calculation puts the offset from the most stable computed form at 114 meV/atom.

***

4.
Sb3Au: optimized geometry, PBE.

The structure belongs to space group R-3m (No. 166, hexagonal axes); the cell edges are 4.2148, 4.2148 and 20.7456 Å and the angles 90.00°, 90.00° and 120.00°. The asymmetric unit holds Sb at (0.0000, 0.0000, 0.0000), Sb at (0.0000, 0.0000, 0.2411) and Au at (0.0000, 0.0000, 0.5000).

Its uncorrected formation energy is -14 meV/atom. The calculation puts the calculated total energy at -47.10 eV/cell. The volume comes out at 26.597 Å³ per atom. The calculation puts the offset from the most stable computed form at 0 meV/atom.

***

Q: What is the offset from the most stable computed form in the third record?
A: 114 meV/atom